P.
A geometry-optimized PdBr3N structure. Source: Alexandria, functional PBE.

Structure (POSCAR):
```
PdBr3N
1.0
-3.355 0.507 -3.227
-3.264 -0.350 3.339
0.120 4.642 0.604
Pd Br N
1 3 1
Cartesian
-3.249 2.400 0.358
-1.632 -0.175 1.670
0.060 2.321 0.302
-1.678 0.253 -1.613
0.000 0.000 0.000
```

Results
DOS at the Fermi energy: 6.8 states/eV per cell
V: 102.67 Å³/cell

---

Q.
A geometry-optimized PdBr3N structure. Source: Alexandria, functional PBE.

Structure (POSCAR):
```
PdBr3N
1.0
-0.975 0.200 5.050
-5.054 -0.014 -0.976
-0.024 -5.144 0.199
Br Pd N
3 1 1
Cartesian
-2.527 -0.007 -0.488
-0.012 -2.572 0.099
-0.488 0.100 2.525
0.000 0.000 0.000
-3.027 -2.479 2.137
```

Results
DOS at the Fermi energy: 7.5 states/eV per cell
V: 136.39 Å³/cell

---

If you had to bet on the most stable structure above, which would it be? Bet on Q.